BeReAg | the Alexandria database | PBE-GGA | relaxed; V = 41.92 Å³/cell; energy relative to the elements = 0.33 eV/atom; theoretical density = 12.006 g/cm3
1.0
2.7231 0.0000 0.0000
-1.3616 2.3583 0.0000
0.0000 0.0000 6.5278
Be Re Ag
1 1 1
direct
0.0000 0.0000 0.0000 Be
0.6667 0.3333 0.2978 Re
0.3333 0.6667 0.6862 Ag